Compound: TbNdHg2
Source: Alexandria
Functional: GGA-PBE
Structure: relaxed

Unit cell a=5.360 b=5.360 c=5.360 alpha=60.00 beta=60.00 gamma=60.00
Site moments in Bohr magnetons follow the coordinates.
Fractional positions:
Nd: 0.500 0.500 0.500  0.18
Tb: 0.000 0.000 0.000  0.24
Hg: 0.250 0.250 0.250  0.02
Hg: 0.750 0.750 0.750  0.02

Calculated total energy ... -2.971 eV/atom
ΔE_f ... -45.37 kJ/mol of atoms
Distance to the lowest polymorph of the same formula ... 7 meV/atom
Calculated volume ... 108.9 Å³/cell
Mass density ... 10.7 Mg/m³

Compound: Tb2Nd3Hg2
Source: Alexandria
Functional: GGA-PBE
Structure: relaxed

Unit cell a=5.481 b=5.479 c=8.669 alpha=108.42 beta=90.00 gamma=120.01
Fractional positions:
Tb: 0.925 0.851 0.276
Tb: 0.075 0.149 0.724
Nd: 0.500 0.000 0.000
Nd: 0.659 0.318 0.477
Nd: 0.341 0.682 0.523
Hg: 0.789 0.578 0.865
Hg: 0.211 0.422 0.135

Calculated total energy ... -3.691 eV/atom
ΔE_f ... -23.00 kJ/mol of atoms
Distance to the lowest polymorph of the same formula ... 0 meV/atom
Calculated volume ... 209.9 Å³/cell
Mass density ... 9.1 Mg/m³

Compound: Tb2Nd6Hg
Source: Alexandria
Functional: GGA-PBE
Structure: relaxed

Unit cell a=3.714 b=9.665 c=9.665 alpha=120.00 beta=90.00 gamma=90.00
Fractional positions:
Tb: 0.000 0.333 0.667
Tb: 0.000 0.667 0.333
Nd: 0.500 0.621 0.000
Nd: 0.500 0.380 0.380
Nd: 0.500 0.000 0.620
Nd: 0.000 0.273 0.000
Nd: 0.000 0.727 0.727
Nd: 0.000 0.000 0.273
Hg: 0.500 0.000 0.000

Calculated total energy ... -4.338 eV/atom
ΔE_f ... -9.38 kJ/mol of atoms
Distance to the lowest polymorph of the same formula ... 0 meV/atom
Calculated volume ... 300.4 Å³/cell
Mass density ... 7.7 Mg/m³

Compound: TbNdHg2
Source: Alexandria
Functional: GGA-PBE
Structure: relaxed

Unit cell a=3.765 b=3.765 c=7.667 alpha=90.00 beta=90.00 gamma=90.00
Site moments in Bohr magnetons follow the coordinates.
Fractional positions:
Nd: 0.500 0.500 0.500  0.23
Tb: 0.500 0.500 0.000  0.12
Hg: 0.000 0.000 0.766  0.01
Hg: 0.000 0.000 0.234  0.01

Calculated total energy ... -2.977 eV/atom
ΔE_f ... -46.02 kJ/mol of atoms
Distance to the lowest polymorph of the same formula ... 0 meV/atom
Calculated volume ... 108.7 Å³/cell
Mass density ... 10.8 Mg/m³

Compound: Tb2NdHg6
Source: Alexandria
Functional: GGA-PBE
Structure: relaxed

Unit cell a=3.459 b=8.657 c=8.657 alpha=120.00 beta=90.00 gamma=90.00
Site moments in Bohr magnetons follow the coordinates.
Fractional positions:
Tb: 0.000 0.333 0.667  0.04
Tb: 0.000 0.667 0.333  0.04
Nd: 0.000 0.000 0.000  0.10
Hg: 0.500 0.335 0.335  0.00
Hg: 0.500 0.665 0.665  0.00
Hg: 0.500 0.000 0.665  0.00
Hg: 0.500 0.665 0.000  0.00
Hg: 0.500 0.335 0.000  0.00
Hg: 0.500 0.000 0.335  0.00

Calculated total energy ... -2.165 eV/atom
ΔE_f ... -39.11 kJ/mol of atoms
Calculated volume ... 224.5 Å³/cell
Mass density ... 12.3 Mg/m³

Compound: Tb6NdHg2
Source: Alexandria
Functional: GGA-PBE
Structure: relaxed

Unit cell a=3.756 b=6.617 c=11.758 alpha=75.29 beta=80.81 gamma=73.51
Fractional positions:
Tb: 0.688 0.499 0.125
Tb: 0.312 0.501 0.875
Tb: 0.312 0.792 0.584
Tb: 0.984 0.692 0.339
Tb: 0.016 0.308 0.661
Tb: 0.688 0.208 0.416
Nd: 0.000 0.000 0.000
Hg: 0.351 0.082 0.215
Hg: 0.649 0.918 0.785

Calculated total energy ... -3.889 eV/atom
ΔE_f ... -19.81 kJ/mol of atoms
Calculated volume ... 269.8 Å³/cell
Mass density ... 9.2 Mg/m³

Compound: TbNd2Hg2
Source: Alexandria
Functional: GGA-PBE
Structure: relaxed

Unit cell a=4.860 b=6.062 c=6.062 alpha=71.81 beta=66.37 gamma=66.37
Fractional positions:
Tb: 0.000 0.000 0.000
Nd: 0.193 0.307 0.307
Nd: 0.807 0.693 0.693
Hg: 0.500 0.281 0.719
Hg: 0.500 0.719 0.281

Calculated total energy ... -3.283 eV/atom
ΔE_f ... -31.74 kJ/mol of atoms
Distance to the lowest polymorph of the same formula ... 41 meV/atom
Calculated volume ... 147.5 Å³/cell
Mass density ... 9.6 Mg/m³

Compound: Tb2NdHg2
Source: Alexandria
Functional: GGA-PBE
Structure: relaxed

Unit cell a=3.772 b=5.407 c=13.913 alpha=90.00 beta=97.79 gamma=90.00
Fractional positions:
Tb: 0.049 0.750 0.096
Tb: 0.951 0.250 0.904
Tb: 0.236 0.750 0.473
Tb: 0.764 0.250 0.527
Nd: 0.852 0.750 0.708
Nd: 0.148 0.250 0.292
Hg: 0.645 0.750 0.289
Hg: 0.355 0.250 0.711
Hg: 0.455 0.750 0.910
Hg: 0.545 0.250 0.090

Calculated total energy ... -3.308 eV/atom
ΔE_f ... -36.86 kJ/mol of atoms
Distance to the lowest polymorph of the same formula ... 0 meV/atom
Calculated volume ... 281.1 Å³/cell
Mass density ... 10.2 Mg/m³

What did the seventh record say?
Compound: TbNd2Hg2
Source: Alexandria
Functional: GGA-PBE
Structure: relaxed

Unit cell a=4.860 b=6.062 c=6.062 alpha=71.81 beta=66.37 gamma=66.37
Fractional positions:
Tb: 0.000 0.000 0.000
Nd: 0.193 0.307 0.307
Nd: 0.807 0.693 0.693
Hg: 0.500 0.281 0.719
Hg: 0.500 0.719 0.281

Calculated total energy ... -3.283 eV/atom
ΔE_f ... -31.74 kJ/mol of atoms
Distance to the lowest polymorph of the same formula ... 41 meV/atom
Calculated volume ... 147.5 Å³/cell
Mass density ... 9.6 Mg/m³